# Tb2Er3Th4

A geometry-optimized Tb2Er3Th4 structure (GGA-PBE, Alexandria).

Summary:
Mass density = 10.15 g/cm³
Calculated volume = 31.8 Å³/atom
Formation enthalpy at 0 K = 0.031 eV per atom

Geometry as CIF:
```
data_Tb2Er3Th4
_chemical_formula_sum 'Tb2 Er3 Th4'
_space_group_name_H-M_alt 'P 1'
_space_group_IT_number 1
_space_group_name_Hall 'P 1'
_cell_length_a 5.023
_cell_length_b 7.917
_cell_length_c 14.572
_cell_angle_alpha 144.09
_cell_angle_beta 90.00
_cell_angle_gamma 108.50
loop_
_atom_site_label
_atom_site_type_symbol
_atom_site_fract_x
_atom_site_fract_y
_atom_site_fract_z
Er1 Er 0.444 0.887 0.329
Er2 Er 0.556 0.113 0.671
Er3 Er 0.000 0.000 0.000
Th1 Th 0.665 0.331 0.996
Th2 Th 0.890 0.780 0.667
Th3 Th 0.110 0.220 0.333
Th4 Th 0.335 0.669 0.004
Tb1 Tb 0.774 0.547 0.332
Tb2 Tb 0.226 0.453 0.668
```